1.
# PuHg3Pd7

An optimized crystal structure of PuHg3Pd7 (PBE, Alexandria).

abc: 5.3921 7.2640 7.2640
angles: 82.76 118.93 118.93
Site moments in Bohr magnetons follow the coordinates.
Atoms (fractional coordinates):
1 Pu 0.5000 0.5000 0.5000  4.83
2 Hg 0.0000 0.7830 0.2170  0.00
3 Hg 0.5000 0.0000 0.0000  0.00
4 Hg 0.0000 0.2170 0.7830  0.00
5 Pd 0.3808 0.2130 0.2130  -0.06
6 Pd 0.3289 0.0696 0.5822  -0.04
7 Pd 0.6711 0.4178 0.9304  -0.04
8 Pd 0.3289 0.5822 0.0696  -0.04
9 Pd 0.0000 0.5000 0.5000  -0.08
10 Pd 0.6711 0.9304 0.4178  -0.04
11 Pd 0.6192 0.7870 0.7870  -0.06

## Properties
Its space group is No. 12. The energy of formation from the pure elements is -2.08 kcal/mol of atoms.

2.
# Th4Sb3N2

An optimized crystal structure of Th4Sb3N2 (PBE, Alexandria).

abc: 4.2202 7.2708 8.6052
angles: 72.15 75.81 73.13
Atoms (fractional coordinates):
1 Th 0.3094 0.2556 0.1255
2 Th 0.6906 0.7444 0.8745
3 Th 0.1199 0.1703 0.5899
4 Th 0.8801 0.8297 0.4101
5 Sb 0.3920 0.5073 0.7088
6 Sb 0.0000 0.0000 0.0000
7 Sb 0.6080 0.4927 0.2912
8 N 0.3069 0.0157 0.3704
9 N 0.6931 0.9843 0.6296

## Properties
The energy comes out at -7.800 eV/atom. Its space group is No. 12.